No. 1
## LuReN2 (PBE)

Data for a relaxed structure of LuReN2.

Cell lengths 3.1191, 3.1191, 19.7747 Å; angles 90.00, 90.00, 120.00 degrees
With the nearest neighbours (Å) after each atom.
Space group R-3m (No. 166, hexagonal axes)
Unique sites:
Lu1 0.0000 0.0000 0.0000 [3 per cell]  2 N 2.21
Re1 0.0000 0.0000 0.5000 [3 per cell]  6 N 2.10
N1 0.0000 0.0000 0.1118 [6 per cell]  3 Re 2.10, 1 Lu 2.21

The value obtained for the formation energy (no corrections) is 0.054 eV per atom.

***

No. 2
## KMg2InHg4 (PBE)

Data for a relaxed structure of KMg2InHg4.

Cell lengths 4.8043, 4.8043, 33.5308 Å; angles 90.00, 90.00, 120.00 degrees
With the nearest neighbours (Å) after each atom.
Space group R-3m (No. 166, hexagonal axes)
Unique sites:
K1 0.0000 0.0000 0.0000 [3 per cell]  6 Hg 3.53
Mg1 0.0000 0.0000 0.2328 [6 per cell]  6 Hg 2.88-3.02
In1 0.0000 0.0000 0.5000 [3 per cell]  8 Hg 3.12-3.41
Hg1 0.0000 0.0000 0.1239 [6 per cell]  3 Mg 2.88, 3 In 3.12
Hg2 0.0000 0.0000 0.3984 [6 per cell]  3 Mg 3.02

The calculated formation energy comes out at -152 meV/atom.

***

No. 3
## Ti5SbMo (PBE)

Data for a relaxed structure of Ti5SbMo.

Cell lengths 7.3298, 7.4845, 9.4619 Å; angles 90.00, 103.06, 90.00 degrees
With the nearest neighbours (Å) after each atom.
Space group C2/c (No. 15)
Unique sites:
Ti1 0.0000 0.1141 0.2500 [4 per cell]  2 Mo 2.51, 1 Sb 2.76
Ti2 0.1167 0.3468 0.5260 [8 per cell]  2 Ti 2.57-2.84, 1 Mo 2.73, 2 Sb 2.75-2.77
Ti3 0.2001 0.2058 0.8447 [8 per cell]  1 Mo 2.77, 2 Sb 2.79-2.92, 5 Ti 2.84-3.07
Sb1 0.0000 0.4827 0.2500 [4 per cell]  9 Ti 2.75-2.92
Mo1 0.0000 0.0000 0.0000 [4 per cell]  6 Ti 2.51-2.77

The value obtained for the formation energy (no corrections) is -0.020 eV per atom.

***

No. 4
## Rb2CdSn (PBE)

Data for a relaxed structure of Rb2CdSn.

Cell lengths 3.8578, 3.8578, 40.0061 Å; angles 90.00, 90.00, 120.00 degrees
With the nearest neighbours (Å) after each atom.
Space group R-3m (No. 166, hexagonal axes)
Unique sites:
Rb1 0.0000 0.0000 0.0898 [6 per cell]  1 Sn 3.59, 3 Cd 3.80, 6 Rb 3.86
Cd1 0.0000 0.0000 0.5000 [3 per cell]  6 Rb 3.80, 6 Cd 3.86
Sn1 0.0000 0.0000 0.0000 [3 per cell]  2 Rb 3.59, 6 Sn 3.86

The calculated formation energy comes out at 287 meV/atom.

***

No. 5
## LuTc2W (PBE)

Data for a relaxed structure of LuTc2W.

Cell lengths 6.4364, 6.4364, 6.4364 Å; angles 90.00, 90.00, 90.00 degrees
With the nearest neighbours (Å) after each atom.
Space group Fm-3m (No. 225)
Unique sites:
Lu1 0.0000 0.0000 0.0000 [4 per cell]  8 Tc 2.79
Tc1 0.2500 0.2500 0.2500 [8 per cell]  4 Lu 2.79, 4 W 2.79
W1 0.0000 0.0000 0.5000 [4 per cell]  8 Tc 2.79

The calculated formation energy comes out at -83 meV/atom.

***

No. 6
## Tb2Sm7Cd2 (PBE)

Data for a relaxed structure of Tb2Sm7Cd2.

Cell lengths 8.7651, 9.7768, 8.6078 Å; angles 90.00, 109.85, 90.00 degrees
With the nearest neighbours (Å) after each atom.
Space group C2/m (No. 12)
Unique sites:
Tb1 0.0000 0.1784 0.0000 [4 per cell]  2 Cd 3.16, 6 Sm 3.45-3.52, 1 Tb 3.49
Sm1 0.0000 0.5000 0.5000 [2 per cell]  2 Cd 3.15, 2 Sm 3.36
Sm2 0.1347 0.5000 0.9156 [4 per cell]  2 Sm 3.17-3.36, 1 Cd 3.45, 4 Tb 3.50-3.52
Sm3 0.1979 0.1762 0.6730 [8 per cell]  3 Cd 3.29-3.54, 2 Sm 3.45-3.67, 1 Tb 3.45
Cd1 0.1203 0.0000 0.3245 [4 per cell]  6 Sm 3.15-3.45, 2 Tb 3.16

The calculated formation energy comes out at -46 meV/atom.

***

No. 7
## KBaSr2Co (PBE)

Data for a relaxed structure of KBaSr2Co.

Cell lengths 6.0671, 6.0671, 6.0739 Å; angles 90.00, 90.00, 90.00 degrees
With the nearest neighbours (Å) after each atom.
Space group P4/mmm (No. 123)
Unique sites:
K1 0.0000 0.0000 0.0000 [1 per cell]  4 Ba 4.29, 8 Sr 4.29
Ba1 0.5000 0.5000 0.0000 [1 per cell]  2 Co 3.04
Sr1 0.0000 0.5000 0.5000 [2 per cell]  2 Co 3.03
Co1 0.5000 0.5000 0.5000 [1 per cell]  4 Sr 3.03, 2 Ba 3.04

The calculated formation energy comes out at 242 meV/atom.

***

No. 8
## Li2NpRuN4 (PBE)

Data for a relaxed structure of Li2NpRuN4.

Cell lengths 3.2421, 11.5186, 9.4598 Å; angles 90.00, 90.00, 90.00 degrees
With the nearest neighbours (Å) after each atom.
Space group Cmcm (No. 63)
Unique sites:
Li1 0.0000 0.0970 0.0410 [8 per cell]  4 N 1.84-2.01
Np1 0.0000 0.4358 0.2500 [4 per cell]  8 N 2.38-2.48
Ru1 0.0000 0.3010 0.7500 [4 per cell]  4 N 1.84-2.04
N1 0.0000 0.0909 0.2500 [4 per cell]  2 Li 1.98, 2 Ru 2.04
N2 0.0000 0.1769 0.6275 [8 per cell]  1 Li 1.84, 1 Ru 1.84
N3 0.0000 0.5000 0.0000 [4 per cell]  4 Li 2.01

The value obtained for the formation energy (no corrections) is -0.114 eV per atom.

***

No. 9
## LiY2Ho3S6 (PBE)

Data for a relaxed structure of LiY2Ho3S6.

Cell lengths 6.7060, 11.6446, 6.7238 Å; angles 90.00, 109.57, 90.00 degrees
With the nearest neighbours (Å) after each atom.
Space group C2/m (No. 12)
Unique sites:
Li1 0.0000 0.0000 0.0000 [2 per cell]  6 S 2.67-2.69
Y1 0.0000 0.3342 0.0000 [4 per cell]  6 S 2.75-2.77
Ho1 0.0000 0.1659 0.5000 [4 per cell]  6 S 2.72-2.80
Ho2 0.0000 0.5000 0.5000 [2 per cell]  6 S 2.73-2.82
S1 0.2415 0.0000 0.7547 [4 per cell]  1 Li 2.67, 3 Ho 2.73-2.82, 2 Y 2.75
S2 0.2453 0.1627 0.2487 [8 per cell]  1 Li 2.69, 3 Ho 2.72-2.80, 2 Y 2.76-2.77

The value obtained for the formation energy (no corrections) is -1.957 eV per atom.

***

No. 10
## Li2OsBr8 (PBE)

Data for a relaxed structure of Li2OsBr8.

Cell lengths 14.6594, 6.9351, 6.6410 Å; angles 90.00, 96.52, 90.00 degrees
With the nearest neighbours (Å) after each atom.
Space group C2/m (No. 12)
Unique sites:
Li1 0.1583 0.0000 0.1155 [4 per cell]  4 Br 2.44-2.62
Os1 0.0000 0.0000 0.5000 [2 per cell]  6 Br 2.48-2.50
Br1 0.0602 0.2505 0.2844 [8 per cell]  1 Os 2.48, 1 Li 2.59
Br2 0.1503 0.0000 0.7187 [4 per cell]  1 Os 2.50, 1 Li 2.62
Br3 0.1752 0.5000 0.8011 [4 per cell]  1 Li 2.44

The value obtained for the formation energy (no corrections) is -0.491 eV per atom.

***

No. 11
## Ac5Sb4Te (PBE)

Data for a relaxed structure of Ac5Sb4Te.

Cell lengths 4.7922, 6.7667, 23.9511 Å; angles 90.00, 90.00, 90.00 degrees
With the nearest neighbours (Å) after each atom.
Space group Immm (No. 71)
Unique sites:
Ac1 0.0000 0.0000 0.0000 [2 per cell]  4 Sb 3.37, 2 Te 3.38
Ac2 0.0000 0.0000 0.1997 [4 per cell]  6 Sb 3.38-3.40
Ac3 0.0000 0.0000 0.3961 [4 per cell]  4 Sb 3.32-3.39, 2 Te 3.45
Sb1 0.0000 0.5000 0.2001 [4 per cell]  6 Ac 3.32-3.39
Sb2 0.0000 0.5000 0.4012 [4 per cell]  6 Ac 3.37-3.40
Te1 0.0000 0.5000 0.0000 [2 per cell]  6 Ac 3.38-3.45

The value obtained for the formation energy (no corrections) is -1.308 eV per atom.

***

No. 12
## LiBeZn2 (PBE)

Data for a relaxed structure of LiBeZn2.

Cell lengths 2.5339, 3.9761, 5.1918 Å; angles 90.00, 103.73, 90.00 degrees
With the nearest neighbours (Å) after each atom.
Space group P2/m (No. 10)
Unique sites:
Li1 0.0000 0.0000 0.0000 [1 per cell]  2 Li 2.53, 2 Be 2.60, 8 Zn 2.61-2.80
Be1 0.5000 0.0000 0.5000 [1 per cell]  4 Zn 2.47, 2 Be 2.53, 2 Li 2.60
Zn1 0.2913 0.5000 0.7398 [2 per cell]  2 Be 2.47, 4 Zn 2.53-2.66, 2 Li 2.61

The calculated formation energy comes out at 31 meV/atom.

***

Number 1: energy -8.35 eV/atom, total magnetization 0.00 μB/cell, DOS(E_F) 0.50 states/eV per atom. Number 2: energy -1.18 eV/atom, total magnetization 0.00 μB/cell, DOS(E_F) 0.44 states/eV per atom. Number 3: energy -7.80 eV/atom, total magnetization 0.00 μB/cell, DOS(E_F) 1.22 states/eV per atom. Number 4: energy -1.43 eV/atom, total magnetization 0.00 μB/cell, DOS(E_F) 0.53 states/eV per atom. Number 5: energy -9.63 eV/atom, total magnetization 0.00 μB/cell, DOS(E_F) 1.16 states/eV per atom. Number 6: energy -4.06 eV/atom, total magnetization 0.00 μB/cell, DOS(E_F) 1.20 states/eV per atom. Number 7: energy -2.46 eV/atom, total magnetization 0.46 μB/cell, DOS(E_F) 1.20 states/eV per atom. Number 8: energy -7.53 eV/atom, total magnetization 3.66 μB/cell, DOS(E_F) 0.73 states/eV per atom. Number 9: energy -6.40 eV/atom, total magnetization 0.00 μB/cell, DOS(E_F) 0.40 states/eV per atom. Number 10: energy -3.08 eV/atom, total magnetization 4.24 μB/cell, DOS(E_F) 0.30 states/eV per atom. Number 11: energy -5.32 eV/atom, total magnetization 0.00 μB/cell, DOS(E_F) 0.32 states/eV per atom. Number 12: energy -2.02 eV/atom, total magnetization 0.00 μB/cell, DOS(E_F) 0.23 states/eV per atom.